# 1
Compound: AcLaEu2
Source: the Alexandria database
Functional: PBE
Structure: optimized geometry

Computed properties:
SG = No. 225
Energy relative to the lowest polymorph listed for this composition = 44 meV per atom

Cell lengths 6.1576, 6.1576, 6.1576 Å; angles 60.00, 60.00, 60.00 degrees
With the nearest neighbours (Å) after each atom.
Atoms (fractional coordinates):
Eu  0.2500  0.2500  0.2500  4 Ac 3.77, 4 La 3.77
Eu  0.7500  0.7500  0.7500  4 Ac 3.77, 4 La 3.77
Ac  0.5000  0.5000  0.5000  8 Eu 3.77
La  0.0000  0.0000  0.0000  8 Eu 3.77

# 2
Compound: AcLaEu2
Source: the Alexandria database
Functional: PBE
Structure: optimized geometry

Computed properties:
SG = No. 123
Energy relative to the lowest polymorph listed for this composition = 42 meV per atom

Cell lengths 4.3556, 6.1573, 6.1573 Å; angles 90.00, 90.00, 90.00 degrees
With the nearest neighbours (Å) after each atom.
Atoms (fractional coordinates):
Eu  0.0000  0.0000  0.5000  4 La 3.77, 4 Ac 3.77
Eu  0.0000  0.5000  0.0000  4 Ac 3.77, 4 La 3.77
Ac  0.5000  0.5000  0.5000  8 Eu 3.77
La  0.5000  0.0000  0.0000  8 Eu 3.77

# 3
Compound: AcLaEuLu
Source: the Alexandria database
Functional: PBE
Structure: optimized geometry

Computed properties:
SG = No. 216

Cell lengths 5.9858, 5.9858, 5.9858 Å; angles 60.00, 60.00, 60.00 degrees
With the nearest neighbours (Å) after each atom.
Atoms (fractional coordinates):
Eu  0.5000  0.5000  0.5000  4 Ac 3.67, 4 La 3.67
Ac  0.2500  0.2500  0.2500  4 Eu 3.67, 4 Lu 3.67
Lu  0.0000  0.0000  0.0000  4 La 3.67, 4 Ac 3.67
La  0.7500  0.7500  0.7500  4 Lu 3.67, 4 Eu 3.67

# 4
Compound: AcLaEuMg
Source: the Alexandria database
Functional: PBE
Structure: optimized geometry

Computed properties:
SG = No. 216

Cell lengths 5.9106, 5.9106, 5.9106 Å; angles 60.00, 60.00, 60.00 degrees
With the nearest neighbours (Å) after each atom.
Atoms (fractional coordinates):
Eu  0.0000  0.0000  0.0000  4 La 3.62, 4 Ac 3.62
Ac  0.2500  0.2500  0.2500  4 Eu 3.62, 4 Mg 3.62
Mg  0.5000  0.5000  0.5000  4 Ac 3.62, 4 La 3.62
La  0.7500  0.7500  0.7500  4 Mg 3.62, 4 Eu 3.62

no.,formation enthalpy at 0 K (meV/atom)
1,89
2,88
3,103
4,25